# 1
A plane-wave DFT calculation with GGA-PBE was carried out for a relaxed Cu4HgSe5 crystal.

The value obtained for the calculated volume is 21.08 Å³/atom. The size of the total moment is 0.000 Bohr magnetons per cell. Its formation energy from raw total energies is -0.7 eV per formula unit. For the density of states at the Fermi level, the calculation gives 3.7 states/eV/f.u.

The space group is Pmmn (No. 59, origin choice 2) and the conventional cell measures 7.379, 11.231 and 5.087 Å, with angles of 90.00, 90.00 and 90.00 degrees. The asymmetric unit holds Cu at (0.038, 0.250, 0.032), Cu at (0.250, 0.034, 0.523), Hg at (0.250, 0.750, 0.331), Se at (0.004, 0.558, 0.794) and Se at (0.250, 0.250, 0.679).

---

# 2
A plane-wave DFT calculation with GGA-PBE was carried out for a relaxed CuHg2Se crystal.

The value obtained for the calculated volume is 22.07 Å³/atom. The size of the total moment is 0.000 Bohr magnetons per cell. Its formation energy from raw total energies is 1.0 eV per formula unit. For the density of states at the Fermi level, the calculation gives 3.1 states/eV/f.u.

The space group is I-42d (No. 122) and the conventional cell measures 7.925, 7.925 and 5.624 Å, with angles of 90.00, 90.00 and 90.00 degrees. The asymmetric unit holds Cu at (0.000, 0.000, 0.000), Hg at (0.223, 0.750, 0.125) and Se at (0.000, 0.000, 0.500).

---

# 3
A plane-wave DFT calculation with GGA-PBE was carried out for a relaxed CuHg2Se crystal.

The value obtained for the calculated volume is 24.71 Å³/atom. The size of the total moment is 0.000 Bohr magnetons per cell. Its formation energy from raw total energies is 0.2 eV per formula unit. For the density of states at the Fermi level, the calculation gives 2.1 states/eV/f.u.

The space group is C2/m (No. 12) and the conventional cell measures 16.100, 3.565 and 3.523 Å, with angles of 90.00, 102.21 and 90.00 degrees. The asymmetric unit holds Cu at (0.000, 0.000, 0.000), Hg at (0.188, 0.500, 0.691) and Se at (0.000, 0.500, 0.500).

---

# 4
A plane-wave DFT calculation with GGA-PBE was carried out for a relaxed Cu2HgSe crystal.

The value obtained for the calculated volume is 17.63 Å³/atom. The size of the total moment is 0.000 Bohr magnetons per cell. Its formation energy from raw total energies is 1.6 eV per formula unit. For the density of states at the Fermi level, the calculation gives 1.2 states/eV/f.u.

The space group is F-43m (No. 216) and the conventional cell measures 6.559, 6.559 and 6.559 Å, with angles of 90.00, 90.00 and 90.00 degrees. The asymmetric unit holds Cu at (0.000, 0.000, 0.000), Cu at (0.250, 0.250, 0.250), Hg at (0.000, 0.000, 0.500) and Se at (0.250, 0.250, 0.750).

---

# 5
A plane-wave DFT calculation with GGA-PBE was carried out for a relaxed Cu2HgSe crystal.

The value obtained for the calculated volume is 24.22 Å³/atom. The size of the total moment is 0.000 Bohr magnetons per cell. Its formation energy from raw total energies is 0.2 eV per formula unit. For the density of states at the Fermi level, the calculation gives 0.0 states/eV/f.u.

The space group is I-42d (No. 122) and the conventional cell measures 5.455, 5.455 and 13.024 Å, with angles of 90.00, 90.00 and 90.00 degrees. The asymmetric unit holds Cu at (0.164, 0.250, 0.125), Hg at (0.000, 0.000, 0.500) and Se at (0.000, 0.000, 0.000).

---

# 6
A plane-wave DFT calculation with GGA-PBE was carried out for a relaxed CuHg2Se crystal.

The value obtained for the calculated volume is 22.07 Å³/atom. The size of the total moment is 0.000 Bohr magnetons per cell. Its formation energy from raw total energies is 0.6 eV per formula unit. For the density of states at the Fermi level, the calculation gives 1.1 states/eV/f.u.

The space group is R-3m (No. 166, hexagonal axes) and the conventional cell measures 4.0335, 4.0335 and 18.7956 Å, with angles of 90.00, 90.00 and 120.00 degrees. The asymmetric unit holds Cu at (0.0000, 0.0000, 0.0000), Hg at (0.0000, 0.0000, 0.2586) and Se at (0.0000, 0.0000, 0.5000).

---

# 7
A plane-wave DFT calculation with GGA-PBE was carried out for a relaxed CuHg2Se crystal.

The value obtained for the calculated volume is 22.92 Å³/atom. The size of the total moment is 0.000 Bohr magnetons per cell. Its formation energy from raw total energies is 0.7 eV per formula unit. For the density of states at the Fermi level, the calculation gives 0.7 states/eV/f.u.

The space group is P2/m (No. 10) and the conventional cell measures 4.017, 4.020 and 5.679 Å, with angles of 90.00, 90.46 and 90.00 degrees. The asymmetric unit holds Cu at (0.000, 0.000, 0.000), Hg at (0.000, 0.000, 0.500), Hg at (0.500, 0.500, 0.500) and Se at (0.500, 0.500, 0.000).

---

# 8
A plane-wave DFT calculation with GGA-PBE was carried out for a relaxed CuHg2Se crystal.

The value obtained for the calculated volume is 25.13 Å³/atom. The size of the total moment is 0.000 Bohr magnetons per cell. Its formation energy from raw total energies is 1.0 eV per formula unit. For the density of states at the Fermi level, the calculation gives 1.3 states/eV/f.u.

The space group is Immm (No. 71) and the conventional cell measures 4.246, 6.785 and 6.978 Å, with angles of 90.00, 90.00 and 90.00 degrees. The asymmetric unit holds Cu at (0.000, 0.000, 0.000), Hg at (0.000, 0.273, 0.500) and Se at (0.000, 0.500, 0.000).

---

# 9
A plane-wave DFT calculation with GGA-PBE was carried out for a relaxed CuHg2Se crystal.

The value obtained for the calculated volume is 21.28 Å³/atom. The size of the total moment is 0.000 Bohr magnetons per cell. Its formation energy from raw total energies is 1.4 eV per formula unit. For the density of states at the Fermi level, the calculation gives 3.7 states/eV/f.u.

The space group is F-43m (No. 216) and the conventional cell measures 6.983, 6.983 and 6.983 Å, with angles of 90.00, 90.00 and 90.00 degrees. The asymmetric unit holds Cu at (0.000, 0.000, 0.000), Hg at (0.000, 0.000, 0.500), Hg at (0.250, 0.250, 0.750) and Se at (0.250, 0.250, 0.250).

---

# 10
A plane-wave DFT calculation with GGA-PBE was carried out for a relaxed CuHg2Se crystal.

The value obtained for the calculated volume is 23.13 Å³/atom. The size of the total moment is 0.000 Bohr magnetons per cell. Its formation energy from raw total energies is 1.3 eV per formula unit. For the density of states at the Fermi level, the calculation gives 2.2 states/eV/f.u.

The space group is C2/m (No. 12) and the conventional cell measures 5.274, 11.287 and 3.114 Å, with angles of 90.00, 93.41 and 90.00 degrees. The asymmetric unit holds Cu at (0.000, 0.000, 0.000), Hg at (0.250, 0.250, 0.500) and Se at (0.000, 0.500, 0.000).

---

# 11
A plane-wave DFT calculation with GGA-PBE was carried out for a relaxed Cu2HgSe crystal.

The value obtained for the calculated volume is 21.66 Å³/atom. The size of the total moment is 0.000 Bohr magnetons per cell. Its formation energy from raw total energies is 0.1 eV per formula unit. For the density of states at the Fermi level, the calculation gives 1.0 states/eV/f.u.

The space group is Pm (No. 6) and the conventional cell measures 4.372, 4.274 and 4.642 Å, with angles of 90.00, 92.55 and 90.00 degrees. The asymmetric unit holds Cu at (0.000, 0.000, 0.000), Cu at (0.311, 0.500, 0.097), Hg at (0.358, 0.000, 0.492) and Se at (0.794, 0.500, 0.887).

---

# 12
A plane-wave DFT calculation with GGA-PBE was carried out for a relaxed Cu5Hg3Se12 crystal.

The value obtained for the calculated volume is 23.99 Å³/atom. The size of the total moment is 0.001 Bohr magnetons per cell. Its formation energy from raw total energies is 2.2 eV per formula unit. For the density of states at the Fermi level, the calculation gives 13.8 states/eV/f.u.

The space group is Ia-3d (No. 230) and the conventional cell measures 15.658, 15.658 and 15.658 Å, with angles of 90.00, 90.00 and 90.00 degrees. The asymmetric unit holds Cu at (0.000, 0.000, 0.000), Cu at (0.000, 0.250, 0.375), Hg at (0.000, 0.250, 0.125) and Se at (0.016, 0.038, 0.654).